one) ## NaCa2Y (GGA-PBE)

Data for a relaxed NaCa2Y crystal.

Geometry as CIF:
```
data_NaCa2Y
_space_group_name_H-M_alt 'R 3 m'
_space_group_IT_number 160
_space_group_name_Hall 'R 3 -2"'
_cell_length_a 3.7792
_cell_length_b 3.7792
_cell_length_c 36.9350
_cell_angle_alpha 90.00
_cell_angle_beta 90.00
_cell_angle_gamma 120.00
loop_
_atom_site_label
_atom_site_type_symbol
_atom_site_fract_x
_atom_site_fract_y
_atom_site_fract_z
Na1 Na 0.0000 0.0000 0.0000
Ca1 Ca 0.0000 0.0000 0.4199
Ca2 Ca 0.0000 0.0000 0.5800
Y1 Y 0.0000 0.0000 0.1665
```


two) ## NaCa2Y (GGA-PBE)

Data for a relaxed NaCa2Y crystal.

Geometry as CIF:
```
data_NaCa2Y
_space_group_name_H-M_alt 'F m -3 m'
_space_group_IT_number 225
_space_group_name_Hall '-F 4 2 3'
_cell_length_a 8.443
_cell_length_b 8.443
_cell_length_c 8.443
_cell_angle_alpha 90.00
_cell_angle_beta 90.00
_cell_angle_gamma 90.00
loop_
_atom_site_label
_atom_site_type_symbol
_atom_site_fract_x
_atom_site_fract_y
_atom_site_fract_z
Na1 Na 0.000 0.000 0.000
Ca1 Ca 0.250 0.250 0.250
Y1 Y 0.000 0.000 0.500
```


Which of them is the least stable? Correct choice: two).